BeCu3W: PBEsol geometry, meta-GGA SCAN.

a = 4.605 Å, b = 4.605 Å, c = 4.605 Å
α = 90.00°, β = 90.00°, γ = 90.00°
Positions (direct):
W1 0.000 0.000 0.000
Cu1 0.500 0.000 0.000
Cu2 0.000 0.500 0.000
Cu3 0.000 0.000 0.500
Be1 0.500 0.500 0.500

Results
Volume: 19.529 A^3/atom
Final energy: -109.2 eV/f.u.
Symmetry: Pm-3m